1.
# C2SeS, relaxed, DFT PBE
data_C2SeS
_chemical_formula_sum 'C2 Se1 S1'
_cell_length_a 4.070
_cell_length_b 4.070
_cell_length_c 4.070
_cell_angle_alpha 60.00
_cell_angle_beta 60.00
_cell_angle_gamma 60.00
_symmetry_space_group_name_H-M 'P 1'
_symmetry_Int_Tables_number 1
_symmetry_space_group_name_Hall 'P 1'
loop_
_atom_site_label
_atom_site_fract_x
_atom_site_fract_y
_atom_site_fract_z
C1 0.250 0.250 0.250
C2 0.750 0.750 0.750
Se1 0.000 0.000 0.000
S1 0.500 0.500 0.500
# Formation energy (no corrections)   2.786 eV/atom
# Calculated total energy   -3.728 eV/atom
# Distance to the lowest polymorph of the same formula   0.884 eV/atom



2.
# La2HoCdC, relaxed, DFT PBE
data_La2HoCdC
_chemical_formula_sum 'La2 Ho1 Cd1 C1'
_cell_length_a 5.287
_cell_length_b 5.287
_cell_length_c 4.860
_cell_angle_alpha 90.00
_cell_angle_beta 90.00
_cell_angle_gamma 90.00
_symmetry_space_group_name_H-M 'P 1'
_symmetry_Int_Tables_number 1
_symmetry_space_group_name_Hall 'P 1'
loop_
_atom_site_label
_atom_site_fract_x
_atom_site_fract_y
_atom_site_fract_z
La1 0.000 0.500 0.000
La2 0.500 0.000 0.000
Ho1 0.000 0.000 0.500
Cd1 0.500 0.500 0.500
C1 0.000 0.000 0.000
# Calculated total energy   -5.123 eV/atom
# Formation energy from the elements   -4.814 kcal/mol of atoms



3.
# KV2MoAu, relaxed, DFT PBE
data_KV2MoAu
_chemical_formula_sum 'K1 V2 Mo1 Au1'
_cell_length_a 4.283
_cell_length_b 4.283
_cell_length_c 4.517
_cell_angle_alpha 90.00
_cell_angle_beta 90.00
_cell_angle_gamma 90.00
_symmetry_space_group_name_H-M 'P 1'
_symmetry_Int_Tables_number 1
_symmetry_space_group_name_Hall 'P 1'
loop_
_atom_site_label
_atom_site_fract_x
_atom_site_fract_y
_atom_site_fract_z
K1 0.000 0.000 0.000
V1 0.000 0.500 0.000
V2 0.500 0.000 0.000
Mo1 0.000 0.000 0.500
Au1 0.500 0.500 0.500
# Calculated total energy   -4.204 eV/atom
# Formation energy from the elements   57.287 kcal/mol of atoms



4.
# LaCd2Br, relaxed, DFT PBE
data_LaCd2Br
_chemical_formula_sum 'La1 Cd2 Br1'
_cell_length_a 3.764
_cell_length_b 4.858
_cell_length_c 5.979
_cell_angle_alpha 90.00
_cell_angle_beta 90.00
_cell_angle_gamma 90.00
_symmetry_space_group_name_H-M 'P 1'
_symmetry_Int_Tables_number 1
_symmetry_space_group_name_Hall 'P 1'
loop_
_atom_site_label
_atom_site_fract_x
_atom_site_fract_y
_atom_site_fract_z
La1 0.000 0.000 0.000
Cd1 0.000 0.500 0.500
Cd2 0.500 0.000 0.500
Br1 0.500 0.500 0.000
# Formation energy (no corrections)   -0.610 eV/atom
# Calculated total energy   -2.718 eV/atom
# Distance to the lowest polymorph of the same formula   0.002 eV/atom



Look up the calculated total energy of the second one. -5.123 eV/atom



Which value of calculated total energy does entry 1 give? -3.728 eV/atom



Which value of calculated total energy does entry 2 give? -5.123 eV/atom



Which formula does entry 2 have? La2HoCdC